Density functional theory data (PBE) for Mg5AlH21O17 after structural relaxation.

- DFT total energy (eV for the cell shown) = -234.372
- crystal system = triclinic

a = 3.1062 Å, b = 7.8014 Å, c = 16.3278 Å
α = 92.50°, β = 90.13°, γ = 100.22°
Last column: nearest neighbours and their distance in Å.
Space group P1 (No. 1)
Inequivalent atoms, fractional coordinates:
Mg 0.0000 0.0000 0.0000 [1 per cell]  6 O 2.03-2.22
Mg 0.0068 0.0068 0.6678 [1 per cell]  6 O 2.05-2.16
Mg 0.4918 0.9754 0.4996 [1 per cell]  6 O 2.06-2.16
Mg 0.5101 0.0106 0.8372 [1 per cell]  5 O 2.06-2.12
Mg 0.9896 0.9752 0.3322 [1 per cell]  6 O 2.05-2.16
Al 0.4876 0.9845 0.1660 [1 per cell]  6 O 1.88-2.03
H 0.1385 0.2438 0.5526 [1 per cell]  1 O 0.97
H 0.1401 0.2389 0.2250 [1 per cell]  1 O 0.99
H 0.1822 0.2713 0.9082 [1 per cell]  1 O 0.98
H 0.2578 0.5136 0.7328 [1 per cell]  1 O 0.99
H 0.2710 0.5247 0.8280 [1 per cell]  1 O 0.98
H 0.4057 0.7252 0.2543 [1 per cell]  1 O 0.98
H 0.4060 0.7387 0.6229 [1 per cell]  1 O 0.97
H 0.4319 0.7436 0.9413 [1 per cell]  1 O 0.98
H 0.4933 0.3324 0.6570 [1 per cell]  1 O 1.02
H 0.5211 0.4879 0.1802 [1 per cell]  1 O 1.06
H 0.5429 0.5028 0.0021 [1 per cell]  1 O 1.04
H 0.5735 0.2490 0.0817 [1 per cell]  1 O 0.99
H 0.6034 0.2354 0.3941 [1 per cell]  1 O 0.97
H 0.6913 0.4724 0.2701 [1 per cell]  1 O 0.98
H 0.7390 0.2704 0.7514 [1 per cell]  1 O 0.98
H 0.7681 0.4928 0.6165 [1 per cell]  1 O 0.98
H 0.7729 0.4977 0.9167 [1 per cell]  1 O 0.98
H 0.8411 0.7312 0.1083 [1 per cell]  1 O 1.00
H 0.8711 0.7101 0.4375 [1 per cell]  1 O 0.97
H 0.9460 0.7587 0.7770 [1 per cell]  1 O 0.98
H 0.9745 0.4870 0.0926 [1 per cell]  1 O 0.98
O 0.0546 0.1109 0.2188 [1 per cell]  1 H 0.99
O 0.0556 0.1179 0.5519 [1 per cell]  1 H 0.97
O 0.0701 0.5196 0.7812 [1 per cell]  2 H 0.98-0.99
O 0.0709 0.1472 0.8978 [1 per cell]  1 H 0.98
O 0.4170 0.4780 0.2417 [1 per cell]  2 H 0.98-1.06
O 0.4337 0.8527 0.2617 [1 per cell]  1 H 0.98
O 0.4404 0.8614 0.6122 [1 per cell]  1 H 0.97
O 0.4428 0.8696 0.9458 [1 per cell]  1 H 0.98
O 0.4657 0.4453 0.6303 [1 per cell]  2 H 0.98-1.02
O 0.4853 0.5041 0.9394 [1 per cell]  2 H 0.98-1.04
O 0.5468 0.1214 0.0736 [1 per cell]  1 H 0.99
O 0.5502 0.1100 0.3865 [1 per cell]  1 H 0.97
O 0.5890 0.1671 0.7201 [1 per cell]  1 H 0.98
O 0.6685 0.5018 0.0937 [1 per cell]  1 H 0.98
O 0.9241 0.8611 0.1160 [1 per cell]  1 H 1.00
O 0.9280 0.8359 0.4370 [1 per cell]  1 H 0.97
O 0.9540 0.8843 0.7770 [1 per cell]  1 H 0.98